# PmBe2CdAu5 (PBE-GGA, relaxed)
data_PmBe2CdAu5
_cell_length_a 4.6792
_cell_length_b 4.6792
_cell_length_c 7.5605
_cell_angle_alpha 90.00
_cell_angle_beta 90.00
_cell_angle_gamma 90.00
_space_group_name_H-M_alt 'P 4/m m m'
_space_group_IT_number 123
_space_group_name_Hall '-P 4 2'
loop_
_atom_site_label
_atom_site_fract_x
_atom_site_fract_y
_atom_site_fract_z
Pm1 0.0000 0.0000 0.0000
Be1 0.5000 0.5000 0.3303
Cd1 0.0000 0.0000 0.5000
Au1 0.0000 0.5000 0.2717
Au2 0.5000 0.5000 0.0000
# E_tot = -32.010 eV/cell
# calculated formation energy = -0.28 eV/atom
# spin magnetization = 0.00 μB per formula unit
# mass density = 12.642 g/cm3


# Nd6SmTh2 (PBE-GGA, relaxed)
data_Nd6SmTh2
_cell_length_a 3.6305
_cell_length_b 3.6305
_cell_length_c 27.3133
_cell_angle_alpha 90.00
_cell_angle_beta 90.00
_cell_angle_gamma 120.00
_space_group_name_H-M_alt 'P -6 m 2'
_space_group_IT_number 187
_space_group_name_Hall 'P -6 2'
loop_
_atom_site_label
_atom_site_fract_x
_atom_site_fract_y
_atom_site_fract_z
Nd1 0.0000 0.0000 0.0632
Nd2 0.0000 0.0000 0.2782
Nd3 0.3333 0.6667 0.3909
Sm1 0.0000 0.0000 0.5000
Th1 0.3333 0.6667 0.1696
# E_tot = -47.490 eV/cell
# calculated formation energy = 0.08 eV/atom
# spin magnetization = 0.00 μB per formula unit
# mass density = 7.882 g/cm3


# PuZr2H (PBE-GGA, relaxed)
data_PuZr2H
_cell_length_a 3.1497
_cell_length_b 3.1497
_cell_length_c 26.1126
_cell_angle_alpha 90.00
_cell_angle_beta 90.00
_cell_angle_gamma 120.00
_space_group_name_H-M_alt 'R -3 m'
_space_group_IT_number 166
_space_group_name_Hall '-R 3 2"'
loop_
_atom_site_label
_atom_site_fract_x
_atom_site_fract_y
_atom_site_fract_z
Pu1 0.0000 0.0000 0.0000
Zr1 0.0000 0.0000 0.1147
H1 0.0000 0.0000 0.5000
# E_tot = -103.063 eV/cell
# spin magnetization = 5.14 μB per formula unit
# mass density = 9.492 g/cm3


# Ac2TbNdEr (PBE-GGA, relaxed)
data_Ac2TbNdEr
_cell_length_a 6.4520
_cell_length_b 8.9912
_cell_length_c 6.7024
_cell_angle_alpha 90.00
_cell_angle_beta 90.00
_cell_angle_gamma 90.00
_space_group_name_H-M_alt 'P m m a'
_space_group_IT_number 51
loop_
_space_group_symop_operation_xyz
'x,y,z'
'-x,-y,-z'
'-x+1/2,-y,z'
'x+1/2,y,-z'
'x+1/2,-y,-z'
'-x+1/2,y,z'
'-x,y,-z'
'x,-y,z'
loop_
_atom_site_label
_atom_site_fract_x
_atom_site_fract_y
_atom_site_fract_z
Ac1 0.2500 0.2033 0.2126
Tb1 0.2500 0.0000 0.6848
Nd1 0.2500 0.5000 0.9194
Er1 0.0000 0.5000 0.5000
# E_tot = -41.687 eV/cell
# calculated formation energy = 0.27 eV/atom
# spin magnetization = 0.00 μB per formula unit
# mass density = 7.896 g/cm3


# YGaBiMo2 (PBE-GGA, relaxed)
data_YGaBiMo2
_cell_length_a 4.7521
_cell_length_b 4.7521
_cell_length_c 5.3662
_cell_angle_alpha 90.00
_cell_angle_beta 90.00
_cell_angle_gamma 90.00
_space_group_name_H-M_alt 'P 4/m m m'
_space_group_IT_number 123
_space_group_name_Hall '-P 4 2'
loop_
_atom_site_label
_atom_site_fract_x
_atom_site_fract_y
_atom_site_fract_z
Y1 0.0000 0.0000 0.0000
Ga1 0.5000 0.5000 0.5000
Bi1 0.5000 0.5000 0.0000
Mo1 0.0000 0.5000 0.5000
# E_tot = -30.295 eV/cell
# calculated formation energy = 0.95 eV/atom
# spin magnetization = 0.00 μB per formula unit
# mass density = 7.667 g/cm3


# Ac8Os3Pt2 (PBE-GGA, relaxed)
data_Ac8Os3Pt2
_cell_length_a 13.8593
_cell_length_b 8.8449
_cell_length_c 7.4433
_cell_angle_alpha 90.00
_cell_angle_beta 90.14
_cell_angle_gamma 90.00
_space_group_name_H-M_alt 'C 1 2/m 1'
_space_group_IT_number 12
loop_
_space_group_symop_operation_xyz
'x,y,z'
'-x,-y,-z'
'-x,y,-z'
'x,-y,z'
'x+1/2,y+1/2,z'
'-x+1/2,-y+1/2,-z'
'-x+1/2,y+1/2,-z'
'x+1/2,-y+1/2,z'
loop_
_atom_site_label
_atom_site_fract_x
_atom_site_fract_y
_atom_site_fract_z
Ac1 0.1135 0.0000 0.3306
Ac2 0.1151 0.5000 0.3439
Ac3 0.1216 0.2415 0.8330
Os1 0.0000 0.0000 0.0000
Os2 0.0000 0.2587 0.5000
Pt1 0.2432 0.5000 0.0024
# E_tot = -165.761 eV/cell
# calculated formation energy = -0.33 eV/atom
# spin magnetization = 0.00 μB per formula unit
# mass density = 10.107 g/cm3


# TaSnAu (PBE-GGA, relaxed)
data_TaSnAu
_cell_length_a 5.5622
_cell_length_b 12.5099
_cell_length_c 7.2953
_cell_angle_alpha 90.00
_cell_angle_beta 90.00
_cell_angle_gamma 90.00
_space_group_name_H-M_alt 'C m c e'
_space_group_IT_number 64
_space_group_name_Hall '-C 2ac 2'
loop_
_atom_site_label
_atom_site_fract_x
_atom_site_fract_y
_atom_site_fract_z
Ta1 0.0000 0.0883 0.1174
Sn1 0.0000 0.1998 0.4467
Au1 0.2500 0.0896 0.7500
# E_tot = -148.572 eV/cell
# calculated formation energy = 0.19 eV/atom
# spin magnetization = 0.00 μB per formula unit
# mass density = 12.996 g/cm3


# KSbAu (PBE-GGA, relaxed)
data_KSbAu
_cell_length_a 3.8656
_cell_length_b 13.3293
_cell_length_c 7.1759
_cell_angle_alpha 90.00
_cell_angle_beta 90.00
_cell_angle_gamma 90.00
_space_group_name_H-M_alt 'C m c m'
_space_group_IT_number 63
_space_group_name_Hall '-C 2c 2'
loop_
_atom_site_label
_atom_site_fract_x
_atom_site_fract_y
_atom_site_fract_z
K1 0.0000 0.1834 0.2500
Sb1 0.0000 0.0814 0.7500
Au1 0.0000 0.5000 0.0000
# E_tot = -37.700 eV/cell
# formation energy from raw total energies = -0.31 eV/atom
# spin magnetization = 0.00 μB per formula unit
# mass density = 6.428 g/cm3


Q: Which value of spin magnetization does entry 1 give?
A: 0.00 μB per formula unit